1.
Below is crystalline Sb6Os7 at its relaxed geometry, with properties calculated at the GGA-PBE level.

a = 5.3059 Å, b = 5.3059 Å, c = 33.3022 Å
α = 90.00°, β = 90.00°, γ = 120.00°
Closest atoms and distances in Å follow each position.
Space group R-3m (No. 166, hexagonal axes)
Inequivalent atoms, fractional coordinates:
Sb 0.0000 0.0000 0.0595 (multiplicity 6)  6 Os 2.95, 4 Sb 3.21-3.22
Sb 0.0000 0.0000 0.1562 (multiplicity 6)  12 Os 3.01-3.28, 4 Sb 3.14-3.22
Sb 0.0000 0.0000 0.3643 (multiplicity 6)  3 Os 2.74
Os 0.0000 0.0000 0.5000 (multiplicity 3)  6 Os 2.77, 6 Sb 3.08
Os 0.0098 0.5049 0.9016 (multiplicity 18)  5 Os 2.57-2.77, 1 Sb 2.74

2.
Below is crystalline Sb3Os at its relaxed geometry, with properties calculated at the GGA-PBE level.

a = 3.3569 Å, b = 3.3569 Å, c = 9.8621 Å
α = 90.00°, β = 90.00°, γ = 120.00°
Closest atoms and distances in Å follow each position.
Space group P-6m2 (No. 187)
Inequivalent atoms, fractional coordinates:
Sb 0.0000 0.0000 0.0000 (multiplicity 1)  12 Sb 3.36-3.59
Sb 0.6667 0.3333 0.3066 (multiplicity 2)  3 Os 2.72
Os 0.0000 0.0000 0.5000 (multiplicity 1)  6 Sb 2.72

Computed properties:
**Polymorph energy (0 for the lowest one)**: 0.150 eV/atom

3.
Below is crystalline Sb2Os at its relaxed geometry, with properties calculated at the GGA-PBE level.

a = 12.6294 Å, b = 3.0757 Å, c = 8.4323 Å
α = 90.00°, β = 115.82°, γ = 90.00°
Closest atoms and distances in Å follow each position.
Space group Cm (No. 8)
Inequivalent atoms, fractional coordinates:
Sb 0.0000 0.0000 0.0000 (multiplicity 2)  3 Os 2.74-2.80
Sb 0.0447 0.5000 0.6256 (multiplicity 2)  2 Os 2.74
Sb 0.2836 0.0000 0.5506 (multiplicity 2)  3 Os 2.77-2.82, 3 Sb 3.08
Sb 0.3327 0.0000 0.1658 (multiplicity 2)  4 Os 2.82-2.87, 2 Sb 3.08
Os 0.0368 0.0000 0.3520 (multiplicity 2)  2 Os 2.70, 6 Sb 2.74-2.82
Os 0.1715 0.5000 0.2492 (multiplicity 2)  2 Os 2.70, 6 Sb 2.74-2.87

4.
Below is crystalline Sb2Os at its relaxed geometry, with properties calculated at the GGA-PBE level.

a = 8.2344 Å, b = 8.2344 Å, c = 8.2344 Å
α = 90.00°, β = 90.00°, γ = 90.00°
Closest atoms and distances in Å follow each position.
Space group Fd-3m (No. 227, origin choice 2)
Inequivalent atoms, fractional coordinates:
Sb 0.0000 0.0000 0.0000 (multiplicity 16)  6 Sb 2.91
Os 0.1250 0.1250 0.6250 (multiplicity 8)  12 Sb 3.41, 4 Os 3.57

no.,ΔE_f (raw) (eV/atom)
1,0.70
2,0.36
3,0.32
4,1.80